[1]
# AlOsW2 | Alexandria via LeMat-Bulk | PBE | optimized geometry
# * formation energy: 55 meV/atom
data_AlOsW2
_chemical_formula_sum 'Al2 Os2 W4'
_symmetry_space_group_name_H-M 'C 1 2/m 1'
_symmetry_Int_Tables_number 12
_symmetry_space_group_name_Hall '-C 2y'
_cell_length_a 5.2678
_cell_length_b 8.6148
_cell_length_c 2.7783
_cell_angle_alpha 90.00
_cell_angle_beta 104.38
_cell_angle_gamma 90.00
loop_
_atom_site_label
_atom_site_type_symbol
_atom_site_fract_x
_atom_site_fract_y
_atom_site_fract_z
Al1 Al 0.0000 0.0000 0.0000
Os1 Os 0.0000 0.5000 0.0000
W1 W 0.2500 0.2500 0.5000

***

[2]
# EuHg2Bi | Alexandria via LeMat-Bulk | PBE | optimized geometry
# * formation energy: -359 meV/atom
data_EuHg2Bi
_chemical_formula_sum 'Eu1 Hg2 Bi1'
_symmetry_space_group_name_H-M 'P 4/m m m'
_symmetry_Int_Tables_number 123
_symmetry_space_group_name_Hall '-P 4 2'
_cell_length_a 3.9883
_cell_length_b 3.9883
_cell_length_c 7.2128
_cell_angle_alpha 90.00
_cell_angle_beta 90.00
_cell_angle_gamma 90.00
loop_
_atom_site_label
_atom_site_type_symbol
_atom_site_fract_x
_atom_site_fract_y
_atom_site_fract_z
Eu1 Eu 0.0000 0.0000 0.0000
Hg1 Hg 0.5000 0.5000 0.2541
Bi1 Bi 0.0000 0.0000 0.5000

***

[3]
# Pm3HoBi4 | Alexandria via LeMat-Bulk | PBE | optimized geometry
# * energy relative to the lowest polymorph listed for this composition: 0.000 eV/atom
# * formation energy: -914 meV/atom
data_Pm3HoBi4
_chemical_formula_sum 'Pm3 Ho1 Bi4'
_symmetry_space_group_name_H-M 'P m -3 m'
_symmetry_Int_Tables_number 221
_symmetry_space_group_name_Hall '-P 4 2 3'
_cell_length_a 6.4319
_cell_length_b 6.4319
_cell_length_c 6.4319
_cell_angle_alpha 90.00
_cell_angle_beta 90.00
_cell_angle_gamma 90.00
loop_
_atom_site_label
_atom_site_type_symbol
_atom_site_fract_x
_atom_site_fract_y
_atom_site_fract_z
Pm1 Pm 0.0000 0.0000 0.5000
Ho1 Ho 0.5000 0.5000 0.5000
Bi1 Bi 0.0000 0.0000 0.0000
Bi2 Bi 0.0000 0.5000 0.5000

***

[4]
# BaCa2MgZn | Alexandria via LeMat-Bulk | PBE | optimized geometry
# * energy relative to the lowest polymorph listed for this composition: 0.000 eV/atom
# * formation energy: -14 meV/atom
data_BaCa2MgZn
_chemical_formula_sum 'Ba1 Ca2 Mg1 Zn1'
_symmetry_space_group_name_H-M 'P 4/m m m'
_symmetry_Int_Tables_number 123
_symmetry_space_group_name_Hall '-P 4 2'
_cell_length_a 5.8718
_cell_length_b 5.8718
_cell_length_c 5.3695
_cell_angle_alpha 90.00
_cell_angle_beta 90.00
_cell_angle_gamma 90.00
loop_
_atom_site_label
_atom_site_type_symbol
_atom_site_fract_x
_atom_site_fract_y
_atom_site_fract_z
Ba1 Ba 0.0000 0.0000 0.0000
Ca1 Ca 0.0000 0.5000 0.5000
Mg1 Mg 0.5000 0.5000 0.0000
Zn1 Zn 0.5000 0.5000 0.5000

***

[5]
# TbLu2 | Alexandria via LeMat-Bulk | PBE | optimized geometry
# * energy relative to the lowest polymorph listed for this composition: 0.000 eV/atom
# * formation energy: 30 meV/atom
data_TbLu2
_chemical_formula_sum 'Tb2 Lu4'
_symmetry_space_group_name_H-M 'I 4/m m m'
_symmetry_Int_Tables_number 139
_symmetry_space_group_name_Hall '-I 4 2'
_cell_length_a 3.4781
_cell_length_b 3.4781
_cell_length_c 14.8703
_cell_angle_alpha 90.00
_cell_angle_beta 90.00
_cell_angle_gamma 90.00
loop_
_atom_site_label
_atom_site_type_symbol
_atom_site_fract_x
_atom_site_fract_y
_atom_site_fract_z
Tb1 Tb 0.0000 0.0000 0.0000
Lu1 Lu 0.0000 0.0000 0.3322

***

[6]
# B2IrN | Alexandria via LeMat-Bulk | PBE | optimized geometry
# * energy relative to the elements, uncorrected: 0.067 eV/atom
data_B2IrN
_chemical_formula_sum 'B8 Ir4 N4'
_symmetry_space_group_name_H-M 'I -4 2 d'
_symmetry_Int_Tables_number 122
_symmetry_space_group_name_Hall 'I -4 2bw'
_cell_length_a 4.4037
_cell_length_b 4.4037
_cell_length_c 7.7232
_cell_angle_alpha 90.00
_cell_angle_beta 90.00
_cell_angle_gamma 90.00
loop_
_atom_site_label
_atom_site_type_symbol
_atom_site_fract_x
_atom_site_fract_y
_atom_site_fract_z
B1 B 0.1609 0.2500 0.1250
Ir1 Ir 0.0000 0.0000 0.5000
N1 N 0.0000 0.0000 0.0000

***

Repeat the first record exactly.
# AlOsW2 | Alexandria via LeMat-Bulk | PBE | optimized geometry
# * formation energy: 55 meV/atom
data_AlOsW2
_chemical_formula_sum 'Al2 Os2 W4'
_symmetry_space_group_name_H-M 'C 1 2/m 1'
_symmetry_Int_Tables_number 12
_symmetry_space_group_name_Hall '-C 2y'
_cell_length_a 5.2678
_cell_length_b 8.6148
_cell_length_c 2.7783
_cell_angle_alpha 90.00
_cell_angle_beta 104.38
_cell_angle_gamma 90.00
loop_
_atom_site_label
_atom_site_type_symbol
_atom_site_fract_x
_atom_site_fract_y
_atom_site_fract_z
Al1 Al 0.0000 0.0000 0.0000
Os1 Os 0.0000 0.5000 0.0000
W1 W 0.2500 0.2500 0.5000